Record 1
# PmNd6Tm2

Crystalline PmNd6Tm2 at its relaxed geometry (PBE, Alexandria via LeMat-Bulk).

Unit cell a=7.6254 b=7.6254 c=6.1578 alpha=90.00 beta=90.00 gamma=120.00
Closest atoms and distances in Å follow each position.
Space group P-3m1 (No. 164)
Asymmetric unit:
Pm  0.0000  0.0000  0.0000 (multiplicity 1)  6 Nd 3.06
Nd  0.1890  0.3780  0.7135 (multiplicity 6)  1 Pm 3.06, 2 Nd 3.30
Tm  0.3333  0.6667  0.2201 (multiplicity 2)  12 Nd 3.59-3.85

Computed properties:
The distance to the lowest polymorph of the same formula is 154.5 meV per atom. Its total energy is -40.4 eV for the cell shown.

Record 2
# NaInAgRh

Crystalline NaInAgRh at its relaxed geometry (PBE, Alexandria via LeMat-Bulk).

Unit cell a=6.6241 b=6.6241 c=6.6241 alpha=90.00 beta=90.00 gamma=90.00
Closest atoms and distances in Å follow each position.
Space group F-43m (No. 216)
Asymmetric unit:
Na  0.0000  0.0000  0.0000 (multiplicity 4)  4 Rh 2.87, 4 Ag 2.87
In  0.0000  0.0000  0.5000 (multiplicity 4)  4 Rh 2.87, 4 Ag 2.87
Ag  0.2500  0.2500  0.7500 (multiplicity 4)  4 In 2.87, 4 Na 2.87
Rh  0.2500  0.2500  0.2500 (multiplicity 4)  4 In 2.87, 4 Na 2.87

Computed properties:
Its total energy is -57.4 eV for the cell shown.

Record 3
# Zr2GaPb

Crystalline Zr2GaPb at its relaxed geometry (PBE, Alexandria via LeMat-Bulk).

Unit cell a=7.7577 b=7.7577 c=6.1412 alpha=90.00 beta=90.00 gamma=90.00
Closest atoms and distances in Å follow each position.
Space group I-42d (No. 122)
Asymmetric unit:
Zr  0.2349  0.2500  0.1250 (multiplicity 8)  2 Ga 2.77, 2 Pb 2.93, 2 Zr 3.08
Ga  0.0000  0.0000  0.0000 (multiplicity 4)  4 Zr 2.77, 2 Pb 3.07
Pb  0.0000  0.0000  0.5000 (multiplicity 4)  4 Zr 2.93, 2 Ga 3.07

Computed properties:
Its total energy is -97.0 eV for the cell shown.